Here is a geometry-optimized Li2AlPb structure from Alexandria. Energies are from GGA-PBE.

Structure (POSCAR):
```
Li2AlPb
1.0
-1.647 0.982 4.264
0.568 -3.171 0.950
4.556 1.257 1.471
Pb Al Li
1 1 2
Cartesian
2.344 -1.433 1.236
3.283 -0.456 3.937
4.325 0.777 1.492
0.642 0.480 2.700
```

Results
The calculation puts the formation energy from the elements at -139.5 meV/atom. The value obtained for the total magnetization is 0.00 μB per formula unit. As for the space-group type: No. 25.



Here is a geometry-optimized BeInNi2 structure from Alexandria. Energies are from GGA-PBE.

Structure (POSCAR):
```
BeInNi2
1.0
4.093 0.000 0.000
0.000 2.839 -0.041
0.000 0.065 4.463
Ni Be In
2 1 1
Cartesian
0.000 0.418 4.363
2.046 0.376 1.451
0.000 1.799 1.673
2.046 1.827 3.608
```

Results
The calculation puts the formation energy from the elements at -14.4 meV/atom. Its excess energy over the best structure of this formula in the dataset is 0.1442 eV per atom. The value obtained for the total magnetization is 0.00 μB per formula unit. As for the space-group type: No. 25.



Here is a geometry-optimized VSnPd2 structure from Alexandria. Energies are from GGA-PBE.

Structure (POSCAR):
```
VSnPd2
1.0
-0.318 -3.145 2.216
4.143 -0.377 0.059
0.168 2.383 3.407
Sn Pd V
1 2 1
Cartesian
-0.159 -1.573 1.108
0.084 1.192 1.703
2.072 -0.188 0.030
1.997 -0.569 2.841
```

Results
The calculation puts the formation energy from the elements at -234.4 meV/atom. The value obtained for the total magnetization is 2.84 μB per formula unit. As for the space-group type: No. 123.



Here is a geometry-optimized CsMg3Tl structure from Alexandria. Energies are from GGA-PBE.

Structure (POSCAR):
```
CsMg3Tl
1.0
-3.342 -4.104 2.374
0.787 -3.344 -4.674
4.675 -2.371 2.484
Cs Tl Mg
1 1 3
Cartesian
1.060 -4.910 0.092
0.000 0.000 0.000
0.394 -1.672 -2.337
2.338 -1.185 1.242
-1.671 -2.052 1.187
```

Results
The calculation puts the formation energy from the elements at 286.1 meV/atom. Its excess energy over the best structure of this formula in the dataset is 0.0000 eV per atom. The value obtained for the total magnetization is 0.00 μB per formula unit. As for the space-group type: No. 221.



Here is a geometry-optimized RbHgSb2I structure from Alexandria. Energies are from GGA-PBE.

Structure (POSCAR):
```
RbHgSb2I
1.0
7.991 0.000 0.000
0.000 7.991 0.000
0.000 0.000 6.768
I Sb Hg Rb
1 2 1 1
Cartesian
0.000 0.000 3.384
0.000 3.995 0.000
3.995 0.000 0.000
3.995 3.995 3.384
0.000 0.000 0.000
```

Results
The calculation puts the uncorrected formation energy at 0.65 eV/atom. Its excess energy over the best structure of this formula in the dataset is 0.6118 eV per atom. The value obtained for the total magnetization is 5.90 μB per formula unit. As for the space-group type: No. 123.



Here is a geometry-optimized Nd2HoSn3Pd4 structure from Alexandria. Energies are from GGA-PBE.

Structure (POSCAR):
```
Nd2HoSn3Pd4
1.0
4.585 0.000 0.000
0.000 4.585 0.000
0.000 0.000 11.133
Nd Ho Sn Pd
2 1 3 4
Cartesian
2.292 0.000 2.469
0.000 2.292 8.664
2.292 2.292 5.567
0.000 0.000 5.567
2.292 0.000 9.740
0.000 2.292 1.393
2.292 2.292 0.000
0.000 0.000 0.000
2.292 0.000 7.149
0.000 2.292 3.985
```

Results
The calculation puts the formation energy from the elements at -805.5 meV/atom. The value obtained for the total magnetization is 0.00 μB per formula unit. As for the space-group type: No. 115.



Here is a geometry-optimized RbSr2CaRh structure from Alexandria. Energies are from GGA-PBE.

Structure (POSCAR):
```
RbSr2CaRh
1.0
-5.278 -1.362 2.709
-1.460 -3.625 -4.667
2.522 -4.456 2.672
Sr Ca Rh Rb
2 1 1 1
Cartesian
-0.730 -1.812 -2.334
-2.639 -0.681 1.355
1.261 -2.228 1.336
0.000 0.000 0.000
-2.108 -4.722 0.357
```

Results
The calculation puts the formation energy from the elements at -98.4 meV/atom. The value obtained for the total magnetization is 0.00 μB per formula unit. As for the space-group type: No. 123.



Here is a geometry-optimized Zr5Sc4 structure from Alexandria. Energies are from GGA-PBE.

Structure (POSCAR):
```
Zr5Sc4
1.0
-5.216 2.685 6.411
1.078 -3.077 8.055
4.046 4.787 1.287
Sc Zr
8 10
Cartesian
0.000 0.000 0.000
2.023 2.394 0.644
-2.111 1.965 7.279
1.731 -0.856 5.697
-0.724 2.090 2.454
2.018 2.430 8.473
3.393 2.567 3.645
-0.446 5.382 5.243
-0.037 0.066 7.821
1.376 0.157 3.043
-2.442 2.975 4.567
-0.055 4.329 7.932
3.748 1.553 6.299
1.272 4.497 3.131
-1.380 -0.131 4.822
-0.736 2.132 10.287
-2.759 -0.261 9.644
0.643 2.263 5.465
```

Results
The calculation puts the formation energy from the elements at 21.3 meV/atom. Its excess energy over the best structure of this formula in the dataset is 0.0058 eV per atom. The value obtained for the total magnetization is 0.00 μB per formula unit. As for the space-group type: No. 193.



Here is a geometry-optimized RbLi2CuSi structure from Alexandria. Energies are from GGA-PBE.

Structure (POSCAR):
```
RbLi2CuSi
1.0
-2.085 -3.944 -2.250
0.305 -3.116 5.178
-4.534 1.671 1.273
Si Cu Rb Li
1 1 1 2
Cartesian
-3.157 -2.694 2.101
0.000 0.000 0.000
0.153 -1.558 2.589
-2.267 0.836 0.636
-1.043 -1.972 -1.125
```

Results
The calculation puts the uncorrected formation energy at 0.69 eV/atom. The value obtained for the total magnetization is 1.94 μB per formula unit. As for the space-group type: No. 123.



Here is a geometry-optimized Pm3TcBr2O6 structure from Alexandria. Energies are from GGA-PBE.

Structure (POSCAR):
```
Pm3TcBr2O6
1.0
5.828 0.000 0.800
0.000 6.719 0.000
0.313 -3.360 5.807
Pm Tc Br O
3 1 2 6
Cartesian
0.000 3.360 0.000
3.071 1.680 3.303
3.071 -1.680 3.303
2.914 0.000 0.400
0.831 3.360 2.720
5.310 0.000 3.886
4.091 1.572 1.176
2.050 1.788 5.430
4.054 3.360 4.439
2.087 0.000 2.167
2.050 -1.788 5.430
4.091 5.147 1.176
```

Results
The calculation puts the uncorrected formation energy at -2.07 eV/atom. The value obtained for the total magnetization is 2.00 μB per formula unit. As for the space-group type: No. 12.



Here is a geometry-optimized KRbSbI2 structure from Alexandria. Energies are from GGA-PBE.

Structure (POSCAR):
```
KRbSbI2
1.0
6.945 0.000 0.000
0.000 6.945 0.000
0.000 0.000 6.849
I Sb K Rb
2 1 1 1
Cartesian
0.000 3.472 0.000
3.472 0.000 0.000
0.000 0.000 3.425
3.472 3.472 3.425
0.000 0.000 0.000
```

Results
The calculation puts the uncorrected formation energy at -0.35 eV/atom. Its excess energy over the best structure of this formula in the dataset is 0.0905 eV per atom. The value obtained for the total magnetization is 3.08 μB per formula unit. As for the space-group type: No. 123.



Here is a geometry-optimized MnNi6Rh5 structure from Alexandria. Energies are from GGA-PBE.

Structure (POSCAR):
```
MnNi6Rh5
1.0
3.565 -0.484 -0.984
-1.496 6.561 -1.578
-0.137 -0.625 6.883
Ni Mn Rh
6 1 5
Cartesian
1.223 5.287 1.830
0.257 2.562 -0.330
-0.334 4.330 3.731
2.267 1.123 0.590
1.676 2.891 4.651
0.710 0.166 2.491
0.000 0.000 0.000
0.507 5.156 -0.701
-1.044 4.172 1.235
0.966 2.726 2.160
-0.589 1.765 4.069
1.426 0.296 5.021
```

Results
The calculation puts the formation energy from the elements at 14.6 meV/atom. The value obtained for the total magnetization is 0.94 μB per formula unit. As for the space-group type: No. 71.